Record 1
VASP calculation (PBE) on a relaxed Ba3CaAu2 crystal.

Properties
VASP energy = -69.94 eV/cell

CIF file:
```
data_Ba3CaAu2
_symmetry_space_group_name_H-M 'C 1 2/m 1'
_symmetry_Int_Tables_number 12
_cell_length_a 18.841
_cell_length_b 4.868
_cell_length_c 12.711
_cell_angle_alpha 90.00
_cell_angle_beta 116.38
_cell_angle_gamma 90.00
loop_
_symmetry_equiv_pos_as_xyz
'x,y,z'
'-x,-y,-z'
'-x,y,-z'
'x,-y,z'
'x+1/2,y+1/2,z'
'-x+1/2,-y+1/2,-z'
'-x+1/2,y+1/2,-z'
'x+1/2,-y+1/2,z'
loop_
_atom_site_label
_atom_site_fract_x
_atom_site_fract_y
_atom_site_fract_z
_atom_site_occupancy
Ba1 0.051 0.000 0.233 1
Ba2 0.159 0.500 0.009 1
Ba3 0.219 0.000 0.612 1
Ca1 0.071 0.500 0.654 1
Au1 0.110 0.500 0.438 1
Au2 0.141 0.000 0.813 1
```

=====

Record 2
VASP calculation (PBE) on a relaxed Ba2CaAu crystal.

Properties
polymorph energy (0 for the lowest one) = 250 meV/atom

CIF file:
```
data_Ba2CaAu
_symmetry_space_group_name_H-M 'I -4 m 2'
_symmetry_Int_Tables_number 119
_symmetry_space_group_name_Hall 'I -4 -2'
_cell_length_a 5.066
_cell_length_b 5.066
_cell_length_c 12.291
_cell_angle_alpha 90.00
_cell_angle_beta 90.00
_cell_angle_gamma 90.00
loop_
_atom_site_label
_atom_site_fract_x
_atom_site_fract_y
_atom_site_fract_z
_atom_site_occupancy
Ba1 0.000 0.000 0.000 1
Ba2 0.000 0.500 0.250 1
Ca1 0.000 0.500 0.750 1
Au1 0.000 0.000 0.500 1
```

=====

Record 3
VASP calculation (PBE) on a relaxed BaCaAu3 crystal.

Properties
polymorph energy (0 for the lowest one) = 358 meV/atom

CIF file:
```
data_BaCaAu3
_symmetry_space_group_name_H-M 'P m -3 m'
_symmetry_Int_Tables_number 221
_symmetry_space_group_name_Hall '-P 4 2 3'
_cell_length_a 5.487
_cell_length_b 5.487
_cell_length_c 5.487
_cell_angle_alpha 90.00
_cell_angle_beta 90.00
_cell_angle_gamma 90.00
loop_
_atom_site_label
_atom_site_fract_x
_atom_site_fract_y
_atom_site_fract_z
_atom_site_occupancy
Ba1 0.000 0.000 0.000 1
Ca1 0.500 0.500 0.500 1
Au1 0.000 0.500 0.500 1
```

=====

Record 4
VASP calculation (PBE) on a relaxed BaCaAu2 crystal.

Properties
VASP energy = -26.66 eV/cell

CIF file:
```
data_BaCaAu2
_symmetry_space_group_name_H-M 'A m m 2'
_symmetry_Int_Tables_number 38
_cell_length_a 4.868
_cell_length_b 4.232
_cell_length_c 11.826
_cell_angle_alpha 90.00
_cell_angle_beta 90.00
_cell_angle_gamma 90.00
loop_
_symmetry_equiv_pos_as_xyz
'x,y,z'
'-x,-y,z'
'-x,y,z'
'x,-y,z'
'x,y+1/2,z+1/2'
'-x,-y+1/2,z+1/2'
'-x,y+1/2,z+1/2'
'x,-y+1/2,z+1/2'
loop_
_atom_site_label
_atom_site_fract_x
_atom_site_fract_y
_atom_site_fract_z
_atom_site_occupancy
Ba1 0.000 0.000 0.000 1
Ca1 0.500 0.000 0.726 1
Au1 0.000 0.000 0.276 1
Au2 0.500 0.000 0.427 1
```

=====

Record 5
VASP calculation (PBE) on a relaxed Ba4CaAu2 crystal.

Properties
VASP energy = -75.69 eV/cell

CIF file:
```
data_Ba4CaAu2
_symmetry_space_group_name_H-M 'I m a 2'
_symmetry_Int_Tables_number 46
_cell_length_a 8.902
_cell_length_b 18.064
_cell_length_c 8.023
_cell_angle_alpha 90.00
_cell_angle_beta 90.00
_cell_angle_gamma 90.00
loop_
_symmetry_equiv_pos_as_xyz
'x,y,z'
'-x,-y,z'
'-x+1/2,y,z'
'x+1/2,-y,z'
'x+1/2,y+1/2,z+1/2'
'-x+1/2,-y+1/2,z+1/2'
'-x,y+1/2,z+1/2'
'x,-y+1/2,z+1/2'
loop_
_atom_site_label
_atom_site_fract_x
_atom_site_fract_y
_atom_site_fract_z
_atom_site_occupancy
Ba1 0.015 0.199 0.000 1
Ba2 0.250 0.512 0.371 1
Ba3 0.250 0.612 0.885 1
Ca1 0.250 0.094 0.372 1
Au1 0.000 0.000 0.184 1
Au2 0.250 0.712 0.224 1
```

=====

Record 6
VASP calculation (PBE) on a relaxed Ba12CaAu5 crystal.

Properties
VASP energy = -97.35 eV/cell

CIF file:
```
data_Ba12CaAu5
_symmetry_space_group_name_H-M 'I m m m'
_symmetry_Int_Tables_number 71
_symmetry_space_group_name_Hall '-I 2 2'
_cell_length_a 11.263
_cell_length_b 11.833
_cell_length_c 12.442
_cell_angle_alpha 90.00
_cell_angle_beta 90.00
_cell_angle_gamma 90.00
loop_
_atom_site_label
_atom_site_fract_x
_atom_site_fract_y
_atom_site_fract_z
_atom_site_occupancy
Ba1 0.000 0.183 0.206 1
Ba2 0.183 0.500 0.172 1
Ba3 0.205 0.324 0.500 1
Ca1 0.000 0.000 0.500 1
Au1 0.000 0.000 0.000 1
Au2 0.000 0.358 0.000 1
Au3 0.000 0.500 0.379 1
```

=====

Record 7
VASP calculation (PBE) on a relaxed Ba3Ca4Au4 crystal.

Properties
VASP energy = -66.87 eV/cell

CIF file:
```
data_Ba3Ca4Au4
_symmetry_space_group_name_H-M 'I m m m'
_symmetry_Int_Tables_number 71
_symmetry_space_group_name_Hall '-I 2 2'
_cell_length_a 4.460
_cell_length_b 9.526
_cell_length_c 17.491
_cell_angle_alpha 90.00
_cell_angle_beta 90.00
_cell_angle_gamma 90.00
loop_
_atom_site_label
_atom_site_fract_x
_atom_site_fract_y
_atom_site_fract_z
_atom_site_occupancy
Ba1 0.000 0.000 0.000 1
Ba2 0.000 0.500 0.106 1
Ca1 0.000 0.311 0.326 1
Au1 0.000 0.000 0.241 1
Au2 0.000 0.217 0.500 1
```

=====

Record 8
VASP calculation (PBE) on a relaxed Ba2CaAu crystal.

Properties
polymorph energy (0 for the lowest one) = 25 meV/atom

CIF file:
```
data_Ba2CaAu
_symmetry_space_group_name_H-M 'A m m 2'
_symmetry_Int_Tables_number 38
_cell_length_a 4.308
_cell_length_b 5.196
_cell_length_c 15.980
_cell_angle_alpha 90.00
_cell_angle_beta 90.00
_cell_angle_gamma 90.00
loop_
_symmetry_equiv_pos_as_xyz
'x,y,z'
'-x,-y,z'
'-x,y,z'
'x,-y,z'
'x,y+1/2,z+1/2'
'-x,-y+1/2,z+1/2'
'-x,y+1/2,z+1/2'
'x,-y+1/2,z+1/2'
loop_
_atom_site_label
_atom_site_fract_x
_atom_site_fract_y
_atom_site_fract_z
_atom_site_occupancy
Ba1 0.000 0.000 0.000 1
Ba2 0.500 0.000 0.327 1
Ca1 0.000 0.000 0.680 1
Au1 0.500 0.000 0.542 1
```

=====

Record 9
VASP calculation (PBE) on a relaxed Ba2CaAu crystal.

Properties
polymorph energy (0 for the lowest one) = 8 meV/atom

CIF file:
```
data_Ba2CaAu
_symmetry_space_group_name_H-M 'P 4 m m'
_symmetry_Int_Tables_number 99
_cell_length_a 3.991
_cell_length_b 3.991
_cell_length_c 10.373
_cell_angle_alpha 90.00
_cell_angle_beta 90.00
_cell_angle_gamma 90.00
loop_
_symmetry_equiv_pos_as_xyz
'x,y,z'
'-y,x,z'
'-x,-y,z'
'y,-x,z'
'-x,y,z'
'y,x,z'
'x,-y,z'
'-y,-x,z'
loop_
_atom_site_label
_atom_site_fract_x
_atom_site_fract_y
_atom_site_fract_z
_atom_site_occupancy
Ba1 0.000 0.000 0.000 1
Ba2 0.500 0.500 0.353 1
Ca1 0.000 0.000 0.657 1
Au1 0.500 0.500 0.799 1
```

=====

Record 10
VASP calculation (PBE) on a relaxed Ba2Ca3Au2 crystal.

Properties
VASP energy = -39.67 eV/cell

CIF file:
```
data_Ba2Ca3Au2
_symmetry_space_group_name_H-M 'C 1 2/m 1'
_symmetry_Int_Tables_number 12
_cell_length_a 13.054
_cell_length_b 4.429
_cell_length_c 9.963
_cell_angle_alpha 90.00
_cell_angle_beta 116.18
_cell_angle_gamma 90.00
loop_
_symmetry_equiv_pos_as_xyz
'x,y,z'
'-x,-y,-z'
'-x,y,-z'
'x,-y,z'
'x+1/2,y+1/2,z'
'-x+1/2,-y+1/2,-z'
'-x+1/2,y+1/2,-z'
'x+1/2,-y+1/2,z'
loop_
_atom_site_label
_atom_site_fract_x
_atom_site_fract_y
_atom_site_fract_z
_atom_site_occupancy
Ba1 0.156 0.000 0.290 1
Ca1 0.000 0.500 0.500 1
Ca2 0.129 0.500 0.933 1
Au1 0.151 0.000 0.738 1
```